1.
Compound: Na2HoPuO6
Source: Alexandria via LeMat-Bulk
Functional: GGA-PBE
Structure: relaxed

The calculation puts the density at 6483 kg/m³.

It has space group R3 (No. 146, hexagonal axes), with a = 5.8178 Å, b = 5.8178 Å, c = 14.4425 Å, α = 90.00°, β = 90.00° and γ = 120.00°. Symmetry generates all atoms from Na at (0.0000, 0.0000, 0.0000), Na at (0.0000, 0.0000, 0.4806), Ho at (0.0000, 0.0000, 0.7408), Pu at (0.0000, 0.0000, 0.2409), O at (0.0236, 0.6027, 0.9883) and O at (0.0876, 0.3568, 0.8269).

=====

2.
Compound: Na2HoPuO4
Source: Alexandria via LeMat-Bulk
Functional: GGA-PBE
Structure: relaxed

The calculation puts the density at 7393 kg/m³. The density of states at the Fermi level comes out at 5.1 states/eV per cell.

It has space group P2/m (No. 10), with a = 5.948 Å, b = 3.467 Å, c = 6.006 Å, α = 90.00°, β = 109.77° and γ = 90.00°. Symmetry generates all atoms from Na at (0.000, 0.000, 0.000), Na at (0.000, 0.500, 0.500), Ho at (0.500, 0.000, 0.500), Pu at (0.500, 0.500, 0.000), O at (0.287, 0.000, 0.757) and O at (0.287, 0.500, 0.269).

=====

3.
Compound: Na2HoRe3O12
Source: Alexandria via LeMat-Bulk
Functional: GGA-PBE
Structure: relaxed

The calculation puts the density at 5348 kg/m³. The density of states at the Fermi level comes out at 18.0 states/eV per cell.

It has space group R-3m (No. 166, hexagonal axes), with a = 7.4065 Å, b = 7.4065 Å, c = 18.8542 Å, α = 90.00°, β = 90.00° and γ = 120.00°. Symmetry generates all atoms from Na at (0.0000, 0.0000, 0.2040), Ho at (0.0000, 0.0000, 0.5000), Re at (0.0000, 0.5000, 0.0000), O at (0.0467, 0.5234, 0.0974) and O at (0.0893, 0.5447, 0.3459).

=====

| no. | formation energy without anion corrections (meV/atom) |
| --- | --- |
| 1 | -2522.9 |
| 2 | -2583.7 |
| 3 | -1848.3 |